Computed, not measured: a relaxed Cs2NaLi crystal at the PBE-GGA level of DFT.

Properties
Total energy (eV per cell): -11.5
Density (g cm⁻³): 1.8

a b c (Å): 4.6178 4.6178 44.2030
angles (deg): 90.00 90.00 120.00
Space group R-3m (No. 166, hexagonal axes)
Unique sites:
1 Cs 0.0000 0.0000 0.0873 x6
2 Na 0.0000 0.0000 0.5000 x3
3 Li 0.0000 0.0000 0.0000 x3